{"formula": "MoCl2", "functional": "PBE", "state": "relaxed", "total_energy_ev_per_cell": -207.7, "m_tot_mub_per_fu": 0.00, "cell": [[5.641, 0.000, 7.083], [-5.641, 0.000, 7.083], [0.000, -11.362, 0.000]], "species": ["Cl", "Cl", "Cl", "Cl", "Cl", "Cl", "Cl", "Cl", "Cl", "Cl", "Cl", "Cl", "Cl", "Cl", "Cl", "Cl", "Cl", "Cl", "Cl", "Cl", "Cl", "Cl", "Cl", "Cl", "Mo", "Mo", "Mo", "Mo", "Mo", "Mo", "Mo", "Mo", "Mo", "Mo", "Mo", "Mo"], "fractional_positions": [[0.299, 0.299, 0.000], [0.701, 0.701, 0.000], [0.081, 0.671, 0.081], [0.329, 0.919, 0.081], [0.641, 0.359, 0.143], [0.042, 0.206, 0.203], [0.794, 0.958, 0.203], [0.294, 0.458, 0.297], [0.542, 0.706, 0.297], [0.141, 0.859, 0.357], [0.581, 0.171, 0.419], [0.829, 0.419, 0.419], [0.201, 0.201, 0.500], [0.799, 0.799, 0.500], [0.171, 0.581, 0.581], [0.419, 0.829, 0.581], [0.859, 0.141, 0.643], [0.458, 0.294, 0.703], [0.706, 0.542, 0.703], [0.206, 0.042, 0.797], [0.958, 0.794, 0.797], [0.359, 0.641, 0.857], [0.671, 0.081, 0.919], [0.919, 0.329, 0.919], [0.131, 0.131, 0.000], [0.869, 0.869, 0.000], [0.849, 0.151, 0.064], [0.065, 0.935, 0.149], [0.565, 0.435, 0.351], [0.349, 0.651, 0.436], [0.369, 0.369, 0.500], [0.631, 0.631, 0.500], [0.651, 0.349, 0.564], [0.435, 0.565, 0.649], [0.935, 0.065, 0.851], [0.151, 0.849, 0.936]]}

{"formula": "InAgS", "functional": "PBE", "state": "relaxed", "total_energy_ev_per_cell": -20.0, "cell": [[4.201, 0.000, 0.000], [0.000, 4.201, 0.000], [0.000, 0.000, 7.993]], "species": ["Ag", "Ag", "In", "In", "S", "S"], "fractional_positions": [[0.000, 0.000, 0.500], [0.500, 0.500, 0.500], [0.000, 0.500, 0.159], [0.500, 0.000, 0.841], [0.500, 0.000, 0.288], [0.000, 0.500, 0.712]]}

{"formula": "Lu3AlB2", "functional": "PBE", "state": "relaxed", "total_energy_ev_per_cell": -60.8, "m_tot_mub_per_fu": 0.00, "cell": [[3.464, 0.000, 0.000], [-1.732, 3.000, 0.000], [0.000, 0.000, 22.965]], "species": ["Al", "Al", "B", "B", "B", "B", "Lu", "Lu", "Lu", "Lu", "Lu", "Lu"], "fractional_positions": [[0.000, 0.000, 0.250], [0.000, 0.000, 0.750], [0.333, 0.667, 0.074], [0.333, 0.667, 0.426], [0.667, 0.333, 0.574], [0.667, 0.333, 0.926], [0.000, 0.000, 0.000], [0.667, 0.333, 0.141], [0.667, 0.333, 0.359], [0.000, 0.000, 0.500], [0.333, 0.667, 0.641], [0.333, 0.667, 0.859]]}

{"formula": "CdPd2Au", "functional": "PBE", "state": "relaxed", "e_form_kj_per_mol_atoms": -26.7, "total_energy_ev_per_cell": -31.2, "cell": [[-2.797, -3.075, -2.317], [3.034, 0.204, -3.956], [3.074, -4.406, 2.089]], "species": ["Au", "Au", "Cd", "Cd", "Pd", "Pd", "Pd", "Pd"], "fractional_positions": [[0.750, 0.669, 0.002], [0.250, 0.331, 0.998], [0.750, 0.162, 0.269], [0.250, 0.838, 0.731], [0.250, 0.827, 0.241], [0.249, 0.337, 0.500], [0.751, 0.663, 0.500], [0.750, 0.173, 0.759]]}